Record 1
# KCuSb2

A relaxed structure of KCuSb2 (PBEsol, Alexandria via LeMat-Bulk).

Computed properties:
* ΔE_f (raw): 0.0 kJ/mol of atoms

a b c (Å): 3.9699 3.8772 7.8479
angles (deg): 104.30 104.65 90.00
Last column: nearest neighbours and their distance in Å.
Fractional positions:
1 K 0.1968 0.6968 0.3936  6 Sb 3.52-3.53, 2 K 3.88
2 Cu 0.4611 0.4611 0.9223  6 Sb 2.61-2.82
3 Sb 0.8456 0.3456 0.6911  2 Cu 2.61
4 Sb 0.9965 0.9965 0.9930  4 Cu 2.82, 2 Sb 2.94

=====

Record 2
# KCuSb2

A relaxed structure of KCuSb2 (PBEsol, Alexandria via LeMat-Bulk).

Computed properties:
* ΔE_f (raw): 29.9 kJ/mol of atoms

a b c (Å): 5.2154 5.2154 5.2154
angles (deg): 60.00 60.00 60.00
Last column: nearest neighbours and their distance in Å.
Fractional positions:
1 Sb 0.0000 0.0000 0.0000  4 K 3.19, 4 Sb 3.19
2 Sb 0.7500 0.7500 0.7500  4 Sb 3.19, 4 Cu 3.19
3 Cu 0.5000 0.5000 0.5000  4 Sb 3.19, 4 K 3.19
4 K 0.2500 0.2500 0.2500  4 Sb 3.19, 4 Cu 3.19

=====

Record 3
# KScCu3

A relaxed structure of KScCu3 (PBEsol, Alexandria via LeMat-Bulk).

Computed properties:
* ΔE_f: 0.820 eV per atom

a b c (Å): 4.9774 4.9774 4.9774
angles (deg): 90.00 90.00 90.00
Last column: nearest neighbours and their distance in Å.
Fractional positions:
1 Cu 0.0000 0.0000 0.5000  2 Sc 2.49
2 Cu 0.5000 0.0000 0.0000  2 Sc 2.49
3 Cu 0.0000 0.5000 0.0000  2 Sc 2.49
4 K 0.5000 0.5000 0.5000  12 Cu 3.52
5 Sc 0.0000 0.0000 0.0000  6 Cu 2.49

=====

Record 4
# KScCuSe2

A relaxed structure of KScCuSe2 (PBEsol, Alexandria via LeMat-Bulk).

Computed properties:
* ΔE_f (raw): -52.4 kJ/mol of atoms

a b c (Å): 5.1225 5.1225 5.0935
angles (deg): 90.00 90.00 90.00
Last column: nearest neighbours and their distance in Å.
Fractional positions:
1 Cu 0.0000 0.0000 0.5000  2 Sc 2.55
2 Se 0.5000 0.0000 0.0000  2 Sc 2.56
3 K 0.5000 0.5000 0.5000  8 Se 3.61, 4 Cu 3.62
4 Sc 0.0000 0.0000 0.0000  2 Cu 2.55, 4 Se 2.56
5 Se 0.0000 0.5000 0.0000  2 Sc 2.56